Here is a geometry-optimized Ac4WO10 structure from the Alexandria database. Energies are from PBE with a Hubbard U.

Computed properties:
Calculated volume, A^3/atom: 15.73
Density, g/cm3: 8.8
Total DFT energy (no corrections), eV/atom: -7.50

abc: 9.005 9.005 5.817
angles: 90.00 90.00 90.00
Space group I4/m (No. 87)
Inequivalent atoms, fractional coordinates:
1 Ac 0.100 0.699 0.000 [8 per cell]
2 W 0.000 0.000 0.500 [2 per cell]
3 O 0.000 0.500 0.250 [4 per cell]
4 O 0.090 0.169 0.290 [16 per cell]